TaBeCuSn | PBE | optimized geometry

For the calculated total energy, the calculation gives -5.273 eV/atom. The calculation puts the density at 9.71 g cm⁻³.

The space group is F-43m (No. 216) and the conventional cell measures 6.3373, 6.3373 and 6.3373 Å, with angles of 90.00, 90.00 and 90.00 degrees. The inequivalent atoms are Ta at (0.0000, 0.0000, 0.0000), Be at (0.2500, 0.2500, 0.7500), Cu at (0.0000, 0.0000, 0.5000) and Sn at (0.2500, 0.2500, 0.2500).